Nd3Hg3Pb: optimized geometry, PBE-GGA.

Calculated values
**V**: 31.62 Å³/atom
**ΔE_f**: -375 meV per atom
**ρ**: 9.31 g cm⁻³
**Total DFT energy (no corrections)**: -3.078 eV per atom
**Size of the total moment**: 0.0 μB per formula unit

Unit cell a=6.6176 b=6.5494 c=6.6176 alpha=109.26 beta=109.68 gamma=109.26
Atoms (fractional coordinates):
Hg1 0.4999 0.0037 0.0000
Hg2 0.0000 0.0037 0.4999
Nd1 0.5002 0.5038 0.0000
Pb1 0.0000 0.5027 0.0000
Hg3 0.5001 0.5038 0.5001
Nd2 0.0000 0.5038 0.5002
Nd3 0.4998 0.0036 0.4998